# PBE-GGA FeSi24Ge7, relaxed
# - Magnetization: 0.01 μB per formula unit
# - Final energy: -168.6 eV/cell
data_FeSi24Ge7
_chemical_formula_sum 'Fe1 Si24 Ge7'
_cell_length_a 6.734
_cell_length_b 6.734
_cell_length_c 15.564
_cell_angle_alpha 90.00
_cell_angle_beta 90.00
_cell_angle_gamma 70.56
_space_group_name_H-M_alt 'P 1'
_space_group_IT_number 1
loop_
_space_group_symop_operation_xyz
'x,y,z'
loop_
_atom_site_label
_atom_site_type_symbol
_atom_site_fract_x
_atom_site_fract_y
_atom_site_fract_z
_atom_site_occupancy
Fe1 Fe 0.500 0.000 0.126 1
Ge1 Ge 0.500 0.499 0.002 1
Ge2 Ge 0.999 0.000 0.003 1
Ge3 Ge 0.005 0.997 0.497 1
Ge4 Ge 0.620 0.120 0.497 1
Ge5 Ge 0.498 0.506 0.499 1
Ge6 Ge 0.126 0.127 0.627 1
Ge7 Ge 0.626 0.126 0.753 1
Si1 Si 0.121 0.621 0.001 1
Si2 Si 0.616 0.116 0.008 1
Si3 Si 0.000 0.500 0.126 1
Si4 Si 0.143 0.121 0.127 1
Si5 Si 0.621 0.643 0.127 1
Si6 Si 0.623 0.123 0.242 1
Si7 Si 0.999 0.999 0.247 1
Si8 Si 0.499 0.499 0.248 1
Si9 Si 0.127 0.627 0.249 1
Si10 Si 0.497 0.998 0.368 1
Si11 Si 0.125 0.127 0.370 1
Si12 Si 0.626 0.625 0.371 1
Si13 Si 0.000 0.500 0.373 1
Si14 Si 0.120 0.620 0.499 1
Si15 Si 0.999 0.506 0.626 1
Si16 Si 0.503 0.995 0.626 1
Si17 Si 0.627 0.626 0.627 1
Si18 Si 0.498 0.506 0.751 1
Si19 Si 0.126 0.626 0.751 1
Si20 Si 0.004 0.997 0.753 1
Si21 Si 0.627 0.626 0.874 1
Si22 Si 0.000 0.500 0.875 1
Si23 Si 0.126 0.127 0.875 1
Si24 Si 0.498 0.998 0.879 1


# PBE-GGA Ho2AsBrCl, relaxed
# - Magnetization: 0.02 μB per formula unit
# - Final energy: -26.2 eV/cell
data_Ho2AsBrCl
_chemical_formula_sum 'Ho2 As1 Br1 Cl1'
_cell_length_a 4.022
_cell_length_b 4.022
_cell_length_c 10.411
_cell_angle_alpha 90.00
_cell_angle_beta 90.00
_cell_angle_gamma 120.00
_space_group_name_H-M_alt 'P 1'
_space_group_IT_number 1
loop_
_space_group_symop_operation_xyz
'x,y,z'
loop_
_atom_site_label
_atom_site_type_symbol
_atom_site_fract_x
_atom_site_fract_y
_atom_site_fract_z
_atom_site_occupancy
As1 As 0.000 0.000 0.004 1
Br1 Br 0.333 0.667 0.680 1
Cl1 Cl 0.667 0.333 0.308 1
Ho1 Ho 0.333 0.667 0.155 1
Ho2 Ho 0.667 0.333 0.853 1


# PBE-GGA PmThTl, relaxed
# - Magnetization: 0.05 μB per formula unit
# - Polymorph energy (0 for the lowest one): 0.000 kcal/mol of atoms
data_PmThTl
_chemical_formula_sum 'Pm1 Th1 Tl1'
_cell_length_a 5.287
_cell_length_b 5.287
_cell_length_c 5.287
_cell_angle_alpha 60.00
_cell_angle_beta 60.00
_cell_angle_gamma 60.00
_space_group_name_H-M_alt 'P 1'
_space_group_IT_number 1
loop_
_space_group_symop_operation_xyz
'x,y,z'
loop_
_atom_site_label
_atom_site_type_symbol
_atom_site_fract_x
_atom_site_fract_y
_atom_site_fract_z
_atom_site_occupancy
Pm1 Pm 0.250 0.250 0.250 1
Th1 Th 0.750 0.750 0.750 1
Tl1 Tl 0.000 0.000 0.000 1


# PBE-GGA Y3Fe6Co2Ni, relaxed
# - Magnetization: 15.69 μB per formula unit
# - Energy of formation: -0.11 eV/atom
data_Y3Fe6Co2Ni
_chemical_formula_sum 'Y3 Fe6 Co2 Ni1'
_cell_length_a 8.674
_cell_length_b 8.674
_cell_length_c 8.674
_cell_angle_alpha 33.84
_cell_angle_beta 33.84
_cell_angle_gamma 33.84
_space_group_name_H-M_alt 'P 1'
_space_group_IT_number 1
loop_
_space_group_symop_operation_xyz
'x,y,z'
loop_
_atom_site_label
_atom_site_type_symbol
_atom_site_fract_x
_atom_site_fract_y
_atom_site_fract_z
_atom_site_occupancy
Co1 Co 0.332 0.332 0.332 1
Co2 Co 0.668 0.668 0.668 1
Fe1 Fe 0.581 0.581 0.080 1
Fe2 Fe 0.920 0.419 0.419 1
Fe3 Fe 0.419 0.920 0.419 1
Fe4 Fe 0.581 0.080 0.581 1
Fe5 Fe 0.080 0.581 0.581 1
Fe6 Fe 0.419 0.419 0.920 1
Ni1 Ni 0.500 0.500 0.500 1
Y1 Y 0.000 0.000 0.000 1
Y2 Y 0.142 0.142 0.142 1
Y3 Y 0.858 0.858 0.858 1